(1)
{
  "formula": "LaBeTl2Ga",
  "functional": "PBE-GGA",
  "state": "relaxed",
  "dos_at_fermi_per_ev_cell": 2.75,
  "formation_energy_kj_per_mol_atoms": 3.2,
  "e_tot_ev_per_atom": -3.250,
  "lattice_angstrom": [[-4.051, 2.543, 2.184], [-2.953, -3.183, -1.770], [0.523, -2.904, 4.352]],
  "species": ["Be", "La", "Tl", "Tl", "Ga"],
  "fractional_positions": [[0.000, 0.000, 0.000], [0.500, 0.500, 0.500], [0.000, 0.000, 0.500], [0.500, 0.000, 0.000], [0.000, 0.500, 0.000]]
}

***

(2)
{
  "formula": "AcNpO2",
  "functional": "PBE-GGA",
  "state": "relaxed",
  "dos_at_fermi_per_ev_cell": 5.73,
  "e_form_raw_ev_per_atom": -2.39,
  "e_tot_ev_per_atom": -9.130,
  "lattice_angstrom": [[4.005, 0.000, 0.000], [2.003, 3.469, 0.000], [2.003, 1.156, 6.573]],
  "species": ["O", "O", "Ac", "Np"],
  "fractional_positions": [[0.110, 0.110, 0.671], [0.890, 0.890, 0.329], [0.500, 0.500, 0.500], [0.000, 0.000, 0.000]]
}

***

| no. | total magnetic moment (μB per atom) |
| --- | --- |
| 1 | 0.0000 |
| 2 | 1.1073 |